Computed, not measured: a relaxed Cs3HgAu crystal at the PBE level of DFT.

abc: 6.9604 6.9604 6.9604
angles: 90.00 90.00 90.00
Fractional positions:
Hg1 0.5000 0.5000 0.5000
Cs1 0.5000 0.0000 0.0000
Cs2 0.0000 0.0000 0.5000
Cs3 0.0000 0.5000 0.0000
Au1 0.0000 0.0000 0.0000

Values from the calculation:
Calculated density, Mg/m³: 3.92
Crystal system: cubic
DFT formation energy, eV per atom: -0.139
Magnetization, μB/cell: 0.5
Energy above the lowest structure with this stoichiometry, meV/atom: 0


Computed, not measured: a relaxed Cs4Hg5Au3 crystal at the PBE level of DFT.

abc: 5.6557 6.7914 14.4818
angles: 66.03 78.74 65.39
Fractional positions:
Cs1 0.7656 0.1022 0.3666
Cs2 0.2344 0.8978 0.6334
Cs3 0.0763 0.6633 0.1840
Cs4 0.9237 0.3367 0.8160
Hg1 0.2234 0.6330 0.9203
Hg2 0.3964 0.1253 0.0819
Hg3 0.7766 0.3670 0.0797
Hg4 0.5000 0.5000 0.5000
Hg5 0.6036 0.8747 0.9181
Au1 0.0000 0.5000 0.5000
Au2 0.4334 0.8376 0.2956
Au3 0.5666 0.1624 0.7044

Values from the calculation:
Calculated density, Mg/m³: 7.64
Crystal system: monoclinic
DFT formation energy, eV per atom: -0.235
Magnetization, μB/cell: 0.0
Energy above the lowest structure with this stoichiometry, meV/atom: 18


Computed, not measured: a relaxed Cs2HgAu crystal at the PBE level of DFT.

abc: 5.1734 5.1734 9.7863
angles: 74.67 74.67 60.00
Fractional positions:
Cs1 0.2606 0.2606 0.2184
Cs2 0.0725 0.0725 0.7826
Hg1 0.5013 0.5013 0.4960
Au1 0.6657 0.6657 0.0030

Values from the calculation:
Calculated density, Mg/m³: 5.10
Crystal system: trigonal
DFT formation energy, eV per atom: -0.227
Magnetization, μB/cell: 0.0


Computed, not measured: a relaxed Cs6HgAu crystal at the PBE level of DFT.

abc: 9.0531 9.0531 9.2854
angles: 99.09 99.09 117.50
Fractional positions:
Hg1 0.0000 0.0000 0.0000
Cs1 0.4388 0.1117 0.2538
Cs2 0.1117 0.4388 0.2538
Cs3 0.8883 0.5612 0.7462
Cs4 0.5612 0.8883 0.7462
Cs5 0.2480 0.2480 0.7273
Cs6 0.7520 0.7520 0.2727
Au1 0.5000 0.5000 0.5000

Values from the calculation:
Calculated density, Mg/m³: 3.09
Crystal system: monoclinic
DFT formation energy, eV per atom: -0.150
Magnetization, μB/cell: 0.0


Computed, not measured: a relaxed Cs4Hg2Au5 crystal at the PBE level of DFT.

abc: 4.8326 8.7824 10.3814
angles: 101.28 90.00 90.00
Fractional positions:
Au1 0.0000 0.7968 0.1359
Au2 0.0000 0.3631 0.4076
Au3 0.0000 0.2032 0.8641
Au4 0.0000 0.5000 0.0000
Au5 0.0000 0.6369 0.5924
Cs1 0.5000 0.7806 0.8707
Cs2 0.5000 0.6756 0.3438
Cs3 0.5000 0.3244 0.6562
Cs4 0.5000 0.2194 0.1293
Hg1 0.0000 0.0354 0.3604
Hg2 0.0000 0.9646 0.6396

Values from the calculation:
Calculated density, Mg/m³: 7.37
Crystal system: monoclinic
DFT formation energy, eV per atom: -0.259
Magnetization, μB/cell: 0.0


Computed, not measured: a relaxed CsHg6Au4 crystal at the PBE level of DFT.

abc: 7.4934 7.4934 7.4934
angles: 91.85 118.94 118.94
Fractional positions:
Au1 0.3086 0.7355 0.7355
Au2 0.0000 0.5730 0.2645
Au3 0.0000 0.2645 0.5730
Au4 0.6914 0.4270 0.4270
Cs1 0.0000 0.0000 0.0000
Hg1 0.3965 0.4941 0.4941
Hg2 0.6035 0.0977 0.0977
Hg3 0.0000 0.9023 0.5059
Hg4 0.5000 0.5000 0.0000
Hg5 0.0000 0.5059 0.9023
Hg6 0.5000 0.0000 0.5000

Values from the calculation:
Calculated density, Mg/m³: 11.68
Crystal system: tetragonal
DFT formation energy, eV per atom: -0.090
Magnetization, μB/cell: 0.0
Energy above the lowest structure with this stoichiometry, meV/atom: 0


Computed, not measured: a relaxed CsHg4Au crystal at the PBE level of DFT.

abc: 4.5235 9.2917 9.2922
angles: 90.00 89.71 90.00
Fractional positions:
Au1 0.9964 0.7500 0.8202
Au2 0.0036 0.2500 0.1798
Hg1 0.5019 0.4364 0.2894
Hg2 0.4981 0.5636 0.7106
Hg3 0.4998 0.7500 0.0787
Hg4 0.4981 0.9364 0.7106
Hg5 0.0000 0.0000 0.0000
Hg6 0.0000 0.5000 0.0000
Hg7 0.5019 0.0636 0.2894
Hg8 0.5002 0.2500 0.9213
Cs1 0.0001 0.7500 0.4145
Cs2 0.9999 0.2500 0.5855

Values from the calculation:
Calculated density, Mg/m³: 9.63
Crystal system: monoclinic
DFT formation energy, eV per atom: -0.162
Magnetization, μB/cell: 0.0
Energy above the lowest structure with this stoichiometry, meV/atom: 9


Computed, not measured: a relaxed CsHg2Au crystal at the PBE level of DFT.

abc: 5.8049 5.8049 5.8049
angles: 60.00 60.00 60.00
Fractional positions:
Au1 0.5000 0.5000 0.5000
Cs1 0.0000 0.0000 0.0000
Hg1 0.7500 0.7500 0.7500
Hg2 0.2500 0.2500 0.2500

Values from the calculation:
Calculated density, Mg/m³: 8.78
Crystal system: cubic
DFT formation energy, eV per atom: -0.112
Magnetization, μB/cell: 0.0
Energy above the lowest structure with this stoichiometry, meV/atom: 147


Computed, not measured: a relaxed CsHg8Au2 crystal at the PBE level of DFT.

abc: 6.4403 6.4403 11.1628
angles: 106.77 106.77 90.00
Fractional positions:
Cs1 0.5000 0.5000 0.0000
Au1 0.2500 0.7500 0.5000
Au2 0.7500 0.2500 0.5000
Hg1 0.9082 0.9082 0.3119
Hg2 0.4037 0.9082 0.3119
Hg3 0.5963 0.5963 0.6881
Hg4 0.4037 0.4037 0.3119
Hg5 0.0918 0.0918 0.6881
Hg6 0.9082 0.4037 0.3119
Hg7 0.5963 0.0918 0.6881
Hg8 0.0918 0.5963 0.6881

Values from the calculation:
Calculated density, Mg/m³: 8.37
Crystal system: tetragonal
DFT formation energy, eV per atom: -0.011
Magnetization, μB/cell: 0.0


Computed, not measured: a relaxed Cs3Hg5Au2 crystal at the PBE level of DFT.

abc: 7.6158 10.8494 10.8494
angles: 68.17 69.45 69.45
Fractional positions:
Hg1 0.7500 0.5000 0.5000
Hg2 0.0198 0.2302 0.2302
Hg3 0.4802 0.7698 0.7698
Hg4 0.2500 0.5000 0.5000
Hg5 0.3711 0.7406 0.5172
Hg6 0.1289 0.4828 0.2594
Hg7 0.9802 0.7698 0.7698
Hg8 0.5198 0.2302 0.2302
Hg9 0.8711 0.5172 0.7406
Hg10 0.6289 0.2594 0.4828
Cs1 0.6403 0.5773 0.1420
Cs2 0.8597 0.8580 0.4227
Cs3 0.7500 0.0000 0.0000
Cs4 0.2500 0.0000 0.0000
Cs5 0.3597 0.4227 0.8580
Cs6 0.1403 0.1420 0.5773
Au1 0.8562 0.2951 0.9924
Au2 0.3562 0.9924 0.2951
Au3 0.1438 0.7049 0.0076
Au4 0.6438 0.0076 0.7049

Values from the calculation:
Calculated density, Mg/m³: 7.91
Crystal system: orthorhombic
DFT formation energy, eV per atom: -0.226
Magnetization, μB/cell: 0.0


Computed, not measured: a relaxed CsHg2Au crystal at the PBE level of DFT.

abc: 5.1616 8.6928 12.8113
angles: 90.00 90.00 90.00
Fractional positions:
Hg1 0.7500 0.8574 0.4490
Hg2 0.7500 0.8739 0.8493
Hg3 0.2500 0.1426 0.5510
Hg4 0.2500 0.6261 0.3493
Hg5 0.7500 0.3739 0.6507
Hg6 0.7500 0.3574 0.0510
Hg7 0.2500 0.6426 0.9490
Hg8 0.2500 0.1261 0.1507
Cs1 0.7500 0.7903 0.1473
Cs2 0.2500 0.7097 0.6473
Cs3 0.7500 0.2903 0.3527
Cs4 0.2500 0.2097 0.8527
Au1 0.7500 0.0386 0.6496
Au2 0.7500 0.5386 0.8504
Au3 0.2500 0.4614 0.1496
Au4 0.2500 0.9614 0.3504

Values from the calculation:
Calculated density, Mg/m³: 8.45
Crystal system: orthorhombic
DFT formation energy, eV per atom: -0.259
Magnetization, μB/cell: 0.0
Energy above the lowest structure with this stoichiometry, meV/atom: 0


Computed, not measured: a relaxed CsHg2Au2 crystal at the PBE level of DFT.

abc: 8.9212 8.9212 3.3579
angles: 90.00 90.00 90.00
Fractional positions:
Au1 0.3267 0.1733 0.5000
Au2 0.1733 0.6733 0.5000
Au3 0.8267 0.3267 0.5000
Au4 0.6733 0.8267 0.5000
Hg1 0.8776 0.6224 0.0000
Hg2 0.1224 0.3776 0.0000
Hg3 0.6224 0.1224 0.0000
Hg4 0.3776 0.8776 0.0000
Cs1 0.5000 0.5000 0.0000
Cs2 0.0000 0.0000 0.0000

Values from the calculation:
Calculated density, Mg/m³: 11.53
Crystal system: tetragonal
DFT formation energy, eV per atom: -0.008
Magnetization, μB/cell: 0.0
Energy above the lowest structure with this stoichiometry, meV/atom: 195